(1)
A plane-wave DFT calculation with PBE was carried out for a relaxed structure of LiTcSbBr.

Values from the calculation:
For the size of the total moment, the calculation gives 0.0 μB per formula unit. The uncorrected formation energy comes out at -0.097 eV/atom. The calculation puts the total energy at -4.62 eV per atom. The energy above the most stable polymorph in this dataset comes out at 173 meV/atom.

```
data_LiTcSbBr
_chemical_formula_sum 'Li1 Tc1 Sb1 Br1'
_cell_length_a 3.238
_cell_length_b 4.910
_cell_length_c 6.209
_cell_angle_alpha 70.25
_cell_angle_beta 89.19
_cell_angle_gamma 70.78
_space_group_name_H-M_alt 'P 1'
_space_group_IT_number 1
_space_group_name_Hall 'P 1'
loop_
_atom_site_label
_atom_site_type_symbol
_atom_site_fract_x
_atom_site_fract_y
_atom_site_fract_z
_atom_site_occupancy
Li1 Li 0.000 0.000 0.000 1
Tc1 Tc 0.527 0.913 0.414 1
Sb1 Sb 0.793 0.383 0.345 1
Br1 Br 0.155 0.638 0.755 1
```

(2)
A plane-wave DFT calculation with PBE was carried out for a relaxed structure of LiTcSbBr.

Values from the calculation:
For the size of the total moment, the calculation gives 0.0 μB per formula unit. The uncorrected formation energy comes out at -0.128 eV/atom. The calculation puts the total energy at -4.65 eV per atom. The energy above the most stable polymorph in this dataset comes out at 142 meV/atom.

```
data_LiTcSbBr
_chemical_formula_sum 'Li2 Tc2 Sb2 Br2'
_cell_length_a 7.303
_cell_length_b 4.059
_cell_length_c 6.673
_cell_angle_alpha 90.00
_cell_angle_beta 91.43
_cell_angle_gamma 90.00
_space_group_name_H-M_alt 'C 1 m 1'
_space_group_IT_number 8
_space_group_name_Hall 'C -2y'
loop_
_atom_site_label
_atom_site_type_symbol
_atom_site_fract_x
_atom_site_fract_y
_atom_site_fract_z
_atom_site_occupancy
Li1 Li 0.000 0.000 0.000 1
Tc1 Tc 0.342 0.000 0.567 1
Sb1 Sb 0.172 0.500 0.705 1
Br1 Br 0.334 0.000 0.189 1
```

(3)
A plane-wave DFT calculation with PBE was carried out for a relaxed structure of LiTcSbBr.

Values from the calculation:
For the size of the total moment, the calculation gives 0.0 μB per formula unit. The uncorrected formation energy comes out at -0.270 eV/atom. The calculation puts the total energy at -4.79 eV per atom. The energy above the most stable polymorph in this dataset comes out at 0 meV/atom.

```
data_LiTcSbBr
_chemical_formula_sum 'Li2 Tc2 Sb2 Br2'
_cell_length_a 3.507
_cell_length_b 3.507
_cell_length_c 14.366
_cell_angle_alpha 90.00
_cell_angle_beta 90.00
_cell_angle_gamma 90.00
_space_group_name_H-M_alt 'I 4 m m'
_space_group_IT_number 107
_space_group_name_Hall 'I 4 -2'
loop_
_atom_site_label
_atom_site_type_symbol
_atom_site_fract_x
_atom_site_fract_y
_atom_site_fract_z
_atom_site_occupancy
Li1 Li 0.000 0.000 0.000 1
Tc1 Tc 0.000 0.000 0.630 1
Sb1 Sb 0.000 0.000 0.202 1
Br1 Br 0.000 0.000 0.447 1
```

(4)
A plane-wave DFT calculation with PBE was carried out for a relaxed structure of LiTcSbBr.

Values from the calculation:
For the size of the total moment, the calculation gives 0.0 μB per formula unit. The uncorrected formation energy comes out at -0.219 eV/atom. The calculation puts the total energy at -4.74 eV per atom. The energy above the most stable polymorph in this dataset comes out at 51 meV/atom.

```
data_LiTcSbBr
_chemical_formula_sum 'Li2 Tc2 Sb2 Br2'
_cell_length_a 5.021
_cell_length_b 5.021
_cell_length_c 7.216
_cell_angle_alpha 90.00
_cell_angle_beta 110.30
_cell_angle_gamma 90.00
_space_group_name_H-M_alt 'C 1 m 1'
_space_group_IT_number 8
_space_group_name_Hall 'C -2y'
loop_
_atom_site_label
_atom_site_type_symbol
_atom_site_fract_x
_atom_site_fract_y
_atom_site_fract_z
_atom_site_occupancy
Li1 Li 0.000 0.000 0.000 1
Tc1 Tc 0.235 0.000 0.474 1
Sb1 Sb 0.175 0.500 0.352 1
Br1 Br 0.431 0.000 0.862 1
```

(5)
A plane-wave DFT calculation with PBE was carried out for a relaxed structure of LiTcSbBr.

Values from the calculation:
For the size of the total moment, the calculation gives 0.0 μB per formula unit. The uncorrected formation energy comes out at -0.180 eV/atom. The calculation puts the total energy at -4.70 eV per atom. The energy above the most stable polymorph in this dataset comes out at 90 meV/atom.

```
data_LiTcSbBr
_chemical_formula_sum 'Li2 Tc2 Sb2 Br2'
_cell_length_a 13.548
_cell_length_b 3.548
_cell_length_c 3.341
_cell_angle_alpha 90.00
_cell_angle_beta 91.40
_cell_angle_gamma 90.00
_space_group_name_H-M_alt 'C 1 m 1'
_space_group_IT_number 8
_space_group_name_Hall 'C -2y'
loop_
_atom_site_label
_atom_site_type_symbol
_atom_site_fract_x
_atom_site_fract_y
_atom_site_fract_z
_atom_site_occupancy
Li1 Li 0.000 0.000 0.000 1
Tc1 Tc 0.261 0.500 0.004 1
Sb1 Sb 0.348 0.000 0.513 1
Br1 Br 0.102 0.500 0.493 1
```

(6)
A plane-wave DFT calculation with PBE was carried out for a relaxed structure of LiTcSbBr.

Values from the calculation:
For the size of the total moment, the calculation gives 0.0 μB per formula unit. The uncorrected formation energy comes out at -0.163 eV/atom. The calculation puts the total energy at -4.68 eV per atom. The energy above the most stable polymorph in this dataset comes out at 107 meV/atom.

```
data_LiTcSbBr
_chemical_formula_sum 'Li2 Tc2 Sb2 Br2'
_cell_length_a 7.428
_cell_length_b 3.904
_cell_length_c 7.202
_cell_angle_alpha 90.00
_cell_angle_beta 110.23
_cell_angle_gamma 90.00
_space_group_name_H-M_alt 'C 1 m 1'
_space_group_IT_number 8
_space_group_name_Hall 'C -2y'
loop_
_atom_site_label
_atom_site_type_symbol
_atom_site_fract_x
_atom_site_fract_y
_atom_site_fract_z
_atom_site_occupancy
Li1 Li 0.000 0.000 0.000 1
Tc1 Tc 0.156 0.000 0.455 1
Sb1 Sb 0.291 0.500 0.316 1
Br1 Br 0.268 0.000 0.836 1
```

(7)
A plane-wave DFT calculation with PBE was carried out for a relaxed structure of LiTcSbBr.

Values from the calculation:
For the size of the total moment, the calculation gives 0.0 μB per formula unit. The uncorrected formation energy comes out at -0.268 eV/atom. The calculation puts the total energy at -4.79 eV per atom. The energy above the most stable polymorph in this dataset comes out at 2 meV/atom.

```
data_LiTcSbBr
_chemical_formula_sum 'Li1 Tc1 Sb1 Br1'
_cell_length_a 3.503
_cell_length_b 3.503
_cell_length_c 6.998
_cell_angle_alpha 90.00
_cell_angle_beta 90.00
_cell_angle_gamma 90.00
_space_group_name_H-M_alt 'P 4 m m'
_space_group_IT_number 99
_space_group_name_Hall 'P 4 -2'
loop_
_atom_site_label
_atom_site_type_symbol
_atom_site_fract_x
_atom_site_fract_y
_atom_site_fract_z
_atom_site_occupancy
Li1 Li 0.000 0.000 0.000 1
Tc1 Tc 0.500 0.500 0.266 1
Sb1 Sb 0.000 0.000 0.417 1
Br1 Br 0.500 0.500 0.893 1
```

(8)
A plane-wave DFT calculation with PBE was carried out for a relaxed structure of LiTcSbBr.

Values from the calculation:
For the size of the total moment, the calculation gives 0.2 μB per formula unit. The uncorrected formation energy comes out at -0.147 eV/atom. The calculation puts the total energy at -4.67 eV per atom. The energy above the most stable polymorph in this dataset comes out at 123 meV/atom.

```
data_LiTcSbBr
_chemical_formula_sum 'Li2 Tc2 Sb2 Br2'
_cell_length_a 6.088
_cell_length_b 3.359
_cell_length_c 8.562
_cell_angle_alpha 90.00
_cell_angle_beta 110.32
_cell_angle_gamma 90.00
_space_group_name_H-M_alt 'C 1 m 1'
_space_group_IT_number 8
_space_group_name_Hall 'C -2y'
loop_
_atom_site_label
_atom_site_type_symbol
_atom_site_fract_x
_atom_site_fract_y
_atom_site_fract_z
_atom_site_occupancy
Li1 Li 0.000 0.000 0.000 1
Tc1 Tc 0.039 0.500 0.524 1
Sb1 Sb 0.258 0.500 0.305 1
Br1 Br 0.225 0.000 0.807 1
```